# MnCF2

A relaxed structure of MnCF2 (PBE with a Hubbard U, the Alexandria database).

Cell: 5.6062 5.6062 5.6062 Å, 90.00 90.00 90.00°
Closest atoms and distances in Å follow each position.
Space group Fm-3m (No. 225)
Inequivalent atoms, fractional coordinates:
Mn 0.0000 0.0000 0.0000 (multiplicity 4)  8 F 2.43
C 0.0000 0.0000 0.5000 (multiplicity 4)  8 F 2.43
F 0.2500 0.2500 0.2500 (multiplicity 8)  4 Mn 2.43, 4 C 2.43

Computed properties:
The calculated total energy is -4.96 eV/atom.